TaTi2InMo (GGA-PBE, relaxed); crystal system = tetragonal; E_form = 1907 meV per atom; space-group type = No. 123; energy = -6.336 eV/atom
1.0
-3.8038 2.8523 0.5855
-0.7851 -0.0245 -4.9810
-2.8147 -3.8485 0.4626
Mo In Ti Ta
1 1 2 1
Direct
0.5000 0.5000 0.5000
0.0000 0.0000 0.0000
0.0000 0.0000 0.5000
0.5000 0.0000 0.0000
0.0000 0.5000 0.0000